A plane-wave DFT calculation with PBE-GGA was carried out for a relaxed structure of Sc2BeSi.

Its theoretical density is 2997 kg/m3. The value obtained for the formation energy without anion corrections is -500 meV/atom. The space group is P2_1/m, No. 11. The calculation puts the density of states at the Fermi level at 6.9 states/eV/cell. Its total energy is -47.63 eV/cell. The calculation puts the spin magnetization at 0.000 μB/f.u. As for the polymorph energy (0 for the lowest one): 0.00 eV/f.u.

Cell: 3.6834 5.3220 7.7062 Å, 111.30 90.00 90.00°
Closest atoms and distances in Å follow each position.
Fractional positions:
Be1 0.2500 0.3798 0.7192  2 Si 2.25
Be2 0.7500 0.6202 0.2808  2 Si 2.25
Sc1 0.2500 0.7833 0.5630  4 Be 2.74-2.96, 3 Si 2.80-2.81
Sc2 0.2500 0.7825 0.0785  3 Be 2.75-2.82, 4 Si 2.80-2.86
Sc3 0.7500 0.2167 0.4370  4 Be 2.74-2.96, 3 Si 2.80-2.81
Sc4 0.7500 0.2175 0.9215  3 Be 2.75-2.82, 4 Si 2.80-2.86
Si1 0.7500 0.6416 0.7855  2 Be 2.25
Si2 0.2500 0.3584 0.2145  2 Be 2.25


A plane-wave DFT calculation with PBE-GGA was carried out for a relaxed structure of Pr3Tm2Pb3.

Its theoretical density is 9337 kg/m3. The space group is Immm, No. 71. The calculation puts the density of states at the Fermi level at 8.0 states/eV/cell. Its total energy is -37.71 eV/cell. The calculation puts the formation energy at -3.31 eV/f.u. The calculation puts the spin magnetization at 0.000 μB/f.u.

Cell: 4.4311 5.0400 11.5064 Å, 102.65 101.10 90.00°
Closest atoms and distances in Å follow each position.
Fractional positions:
Pr1 0.5000 0.0000 0.0000  4 Pb 3.36, 4 Pr 3.67
Pr2 0.6214 0.6214 0.2428  6 Pb 3.38-3.47, 4 Tm 3.66-3.73, 2 Pr 3.67
Pr3 0.3786 0.3786 0.7572  6 Pb 3.38-3.47, 4 Tm 3.66-3.73, 2 Pr 3.67
Tm1 0.2538 0.7538 0.5076  4 Pb 3.24-3.57, 4 Tm 3.36
Tm2 0.7462 0.2462 0.4924  4 Pb 3.24-3.57, 4 Tm 3.36
Pb1 0.1391 0.1391 0.2782  4 Tm 3.24-3.57, 4 Pr 3.38
Pb2 0.0000 0.5000 0.0000  8 Pr 3.36-3.47
Pb3 0.8609 0.8609 0.7218  4 Tm 3.24-3.57, 4 Pr 3.38


A plane-wave DFT calculation with PBE-GGA was carried out for a relaxed structure of Pr5Cd2Ga2.

Its theoretical density is 6613 kg/m3. The space group is Cmce, No. 64. The calculation puts the density of states at the Fermi level at 19.2 states/eV/cell. Its total energy is -69.97 eV/cell. The calculation puts the formation energy at -3.21 eV/f.u. The calculation puts the spin magnetization at 0.000 μB/f.u.

Cell: 7.8647 7.9721 9.4437 Å, 114.97 90.00 90.00°
Closest atoms and distances in Å follow each position.
Fractional positions:
Pr1 0.6819 0.3210 0.2628  3 Ga 3.18-3.35, 3 Cd 3.25-3.31
Pr2 0.6819 0.0581 0.7372  3 Ga 3.18-3.35, 3 Cd 3.25-3.31
Pr3 0.3181 0.6790 0.7372  3 Ga 3.18-3.35, 3 Cd 3.25-3.31
Pr4 0.8181 0.8210 0.2628  3 Ga 3.18-3.35, 3 Cd 3.25-3.31
Pr5 0.8181 0.5581 0.7372  3 Ga 3.18-3.35, 3 Cd 3.25-3.31
Pr6 0.1819 0.1790 0.7372  3 Ga 3.18-3.35, 3 Cd 3.25-3.31
Pr7 0.5000 0.5000 0.0000  4 Ga 3.17-3.20
Pr8 0.3181 0.9419 0.2628  3 Ga 3.18-3.35, 3 Cd 3.25-3.31
Pr9 0.1819 0.4419 0.2628  3 Ga 3.18-3.35, 3 Cd 3.25-3.31
Pr10 0.0000 0.0000 0.0000  4 Ga 3.17-3.20
Ga1 0.1141 0.6143 0.0000  1 Ga 2.56
Ga2 0.6141 0.8857 0.0000  1 Ga 2.56
Ga3 0.8859 0.3857 0.0000  1 Ga 2.56
Ga4 0.3859 0.1143 0.0000  1 Ga 2.56
Cd1 0.5000 0.7216 0.4432  6 Pr 3.25-3.31
Cd2 0.0000 0.7784 0.5568  6 Pr 3.25-3.31
Cd3 0.0000 0.2216 0.4432  6 Pr 3.25-3.31
Cd4 0.5000 0.2784 0.5568  6 Pr 3.25-3.31


A plane-wave DFT calculation with PBE-GGA was carried out for a relaxed structure of Pa2Ga.

Its theoretical density is 12860 kg/m3. The space group is P4/mmm, No. 123. The calculation puts the density of states at the Fermi level at 14.7 states/eV/cell. Its total energy is -44.47 eV/cell. The calculation puts the formation energy at -0.22 eV/f.u. The calculation puts the spin magnetization at 0.153 μB/f.u.

Cell: 3.7808 3.7808 9.6081 Å, 90.00 90.00 90.00°
Closest atoms and distances in Å follow each position.
Fractional positions:
Pa1 0.0000 0.0000 0.5000  8 Pa 3.16, 2 Ga 3.21
Pa2 0.5000 0.5000 0.0000  8 Ga 3.11, 2 Pa 3.12
Pa3 0.5000 0.5000 0.6757  4 Ga 3.08, 6 Pa 3.12-3.38
Pa4 0.5000 0.5000 0.3243  4 Ga 3.08, 6 Pa 3.12-3.38
Ga1 0.0000 0.0000 0.8344  9 Pa 3.08-3.21, 1 Ga 3.18
Ga2 0.0000 0.0000 0.1656  9 Pa 3.08-3.21, 1 Ga 3.18


A plane-wave DFT calculation with PBE-GGA was carried out for a relaxed structure of TiTl2Cl5F.

Its theoretical density is 4418 kg/m3. The value obtained for the formation energy without anion corrections is -1592 meV/atom. The space group is I4mm, No. 107. The calculation puts the density of states at the Fermi level at 0.0 states/eV/cell. Its total energy is -38.06 eV/cell. The calculation puts the spin magnetization at 0.000 μB/f.u.

Cell: 6.9674 6.9674 6.9674 Å, 93.21 118.17 118.17°
Closest atoms and distances in Å follow each position.
Fractional positions:
Cl1 0.0000 0.7605 0.2297  1 Ti 2.38
Cl2 0.5308 0.7605 0.7605  1 Ti 2.38
Cl3 0.4692 0.2297 0.2297  1 Ti 2.38
Cl4 0.0000 0.2388 0.2388  1 Ti 2.37
Cl5 0.0000 0.2297 0.7605  1 Ti 2.38
Tl1 0.5000 0.2445 0.7445  10 Cl 3.48-3.58, 2 F 3.62
Tl2 0.5000 0.7445 0.2445  10 Cl 3.48-3.58, 2 F 3.62
Ti1 0.0000 0.9914 0.9914  1 F 1.83
F1 0.0000 0.8002 0.8002  1 Ti 1.83


A plane-wave DFT calculation with PBE-GGA was carried out for a relaxed structure of PrZnP.

Its theoretical density is 5413 kg/m3. The space group is C2/m, No. 12. The calculation puts the density of states at the Fermi level at 1.8 states/eV/cell. Its total energy is -28.03 eV/cell. The calculation puts the formation energy at -2.55 eV/f.u. The calculation puts the spin magnetization at 0.000 μB/f.u.

Cell: 5.8255 4.1279 9.4150 Å, 65.19 71.98 45.12°
Closest atoms and distances in Å follow each position.
Fractional positions:
P1 0.7414 0.8525 0.6647  1 Zn 2.39
P2 0.2586 0.1475 0.3353  1 Zn 2.39
Zn1 0.2855 0.3732 0.0558  1 P 2.39, 1 Zn 2.66
Zn2 0.7145 0.6268 0.9442  1 P 2.39, 1 Zn 2.66
Pr1 0.7596 0.1561 0.3247  5 P 2.91-2.93
Pr2 0.2404 0.8439 0.6753  5 P 2.91-2.93


A plane-wave DFT calculation with PBE-GGA was carried out for a relaxed structure of Pm2PaO6.

Its theoretical density is 6853 kg/m3. The value obtained for the formation energy without anion corrections is -3217 meV/atom. The space group is P4_2/mnm, No. 136. The calculation puts the density of states at the Fermi level at 19.7 states/eV/cell. Its total energy is -155.40 eV/cell. The calculation puts the spin magnetization at 0.859 μB/f.u. As for the polymorph energy (0 for the lowest one): 1.03 eV/f.u.

Cell: 5.2426 5.2426 10.8798 Å, 90.00 90.00 90.00°
Closest atoms and distances in Å follow each position.
Fractional positions:
Pa1 0.5000 0.5000 0.0000  6 O 2.17-2.18
Pa2 0.0000 0.0000 0.5000  6 O 2.17-2.18
O1 0.8157 0.1843 0.3453  1 Pa 2.17, 2 Pm 2.34-2.38
O2 0.3157 0.3157 0.1547  1 Pa 2.17, 2 Pm 2.34-2.38
O3 0.7056 0.7056 0.5000  1 Pa 2.18, 2 Pm 2.36
O4 0.2056 0.7944 0.0000  1 Pa 2.18, 2 Pm 2.36
O5 0.6843 0.6843 0.8453  1 Pa 2.17, 2 Pm 2.34-2.38
O6 0.3157 0.3157 0.8453  1 Pa 2.17, 2 Pm 2.34-2.38
O7 0.8157 0.1843 0.6547  1 Pa 2.17, 2 Pm 2.34-2.38
O8 0.7944 0.2056 0.0000  1 Pa 2.18, 2 Pm 2.36
O9 0.2944 0.2944 0.5000  1 Pa 2.18, 2 Pm 2.36
O10 0.6843 0.6843 0.1547  1 Pa 2.17, 2 Pm 2.34-2.38
O11 0.1843 0.8157 0.6547  1 Pa 2.17, 2 Pm 2.34-2.38
O12 0.1843 0.8157 0.3453  1 Pa 2.17, 2 Pm 2.34-2.38
Pm1 0.0000 0.0000 0.1659  6 O 2.34-2.38
Pm2 0.5000 0.5000 0.3341  6 O 2.34-2.38
Pm3 0.5000 0.5000 0.6659  6 O 2.34-2.38
Pm4 0.0000 0.0000 0.8341  6 O 2.34-2.38


A plane-wave DFT calculation with PBE-GGA was carried out for a relaxed structure of DyPaGaPt.

Its theoretical density is 12256 kg/m3. The space group is F-43m, No. 216. The calculation puts the density of states at the Fermi level at 7.0 states/eV/cell. Its total energy is -25.36 eV/cell. The calculation puts the formation energy at -2.20 eV/f.u. The calculation puts the spin magnetization at 0.854 μB/f.u.

Cell: 5.0153 5.0153 5.0153 Å, 60.00 60.00 60.00°
Closest atoms and distances in Å follow each position.
Fractional positions:
Pa1 0.5000 0.5000 0.5000  4 Pt 3.07, 4 Ga 3.07
Ga1 0.2500 0.2500 0.2500  4 Dy 3.07, 4 Pa 3.07
Dy1 0.0000 0.0000 0.0000  4 Pt 3.07, 4 Ga 3.07
Pt1 0.7500 0.7500 0.7500  4 Pa 3.07, 4 Dy 3.07


A plane-wave DFT calculation with PBE-GGA was carried out for a relaxed structure of YZn2NiMo.

Its theoretical density is 6537 kg/m3. The space group is P4/mmm, No. 123. The calculation puts the density of states at the Fermi level at 5.8 states/eV/cell. Its total energy is -24.16 eV/cell. The calculation puts the formation energy at 1.46 eV/f.u. The calculation puts the spin magnetization at 0.000 μB/f.u.

Cell: 4.5195 4.6552 4.5195 Å, 90.00 90.00 90.00°
Closest atoms and distances in Å follow each position.
Fractional positions:
Zn1 0.0000 0.0000 0.5000  2 Ni 2.26
Zn2 0.5000 0.0000 0.0000  2 Ni 2.26
Mo1 0.0000 0.5000 0.0000  2 Ni 2.33
Y1 0.5000 0.5000 0.5000  4 Mo 3.20, 8 Zn 3.24
Ni1 0.0000 0.0000 0.0000  4 Zn 2.26, 2 Mo 2.33


A plane-wave DFT calculation with PBE-GGA was carried out for a relaxed structure of Er3TmGa8.

Its theoretical density is 8788 kg/m3. The space group is R3m, No. 160. The calculation puts the density of states at the Fermi level at 6.4 states/eV/cell. Its total energy is -48.79 eV/cell. The calculation puts the formation energy at -6.41 eV/f.u. The calculation puts the spin magnetization at 0.000 μB/f.u.

Cell: 5.4488 5.4488 9.5608 Å, 73.44 73.44 60.00°
Closest atoms and distances in Å follow each position.
Fractional positions:
Ga1 0.9376 0.4377 0.6872  6 Ga 2.72-2.75
Ga2 0.9376 0.9376 0.6872  6 Ga 2.72-2.75
Ga3 0.4374 0.4374 0.1878  6 Ga 2.72-2.75
Ga4 0.4377 0.9376 0.6872  6 Ga 2.72-2.75
Ga5 0.4374 0.9374 0.1878  6 Ga 2.72-2.75
Ga6 0.9374 0.4374 0.1878  6 Ga 2.72-2.75
Ga7 0.1875 0.1875 0.4374  6 Ga 2.75
Ga8 0.6875 0.6875 0.9376  6 Ga 2.75
Er1 0.3756 0.3756 0.8733  12 Ga 3.20-3.25, 4 Er 3.35-3.36
Er2 0.4995 0.4995 0.5016  12 Ga 3.20-3.24, 3 Tm 3.35, 1 Er 3.36
Er3 0.9993 0.9993 0.0021  12 Ga 3.20-3.25, 1 Tm 3.35, 3 Er 3.35
Tm1 0.8757 0.8757 0.3730  12 Ga 3.20-3.24, 4 Er 3.35